No. 1
# YGaSn

A geometry-optimized YGaSn structure (PBE, Alexandria via LeMat-Bulk).

Cell: 4.3911 4.3911 4.4150 Å, 90.00 90.00 120.00°
Space group P3m1 (No. 156)
Unique sites:
Y (0.0000, 0.0000, 0.0000) (multiplicity 1)
Ga (0.6667, 0.3333, 0.3371) (multiplicity 1)
Sn (0.3333, 0.6667, 0.5647) (multiplicity 1)

***

No. 2
# YGaSn

A geometry-optimized YGaSn structure (PBE, Alexandria via LeMat-Bulk).

Cell: 3.8847 17.5671 4.2323 Å, 90.00 90.00 90.00°
Space group Cmcm (No. 63)
Unique sites:
Y (0.0000, 0.1001, 0.2500) (multiplicity 4)
Ga (0.0000, 0.4588, 0.2500) (multiplicity 4)
Sn (0.0000, 0.2944, 0.2500) (multiplicity 4)

***

No. 3
# YGaSn

A geometry-optimized YGaSn structure (PBE, Alexandria via LeMat-Bulk).

Cell: 3.6470 3.6470 10.8658 Å, 90.00 90.00 90.00°
Space group I4mm (No. 107)
Unique sites:
Y (0.0000, 0.0000, 0.0000) (multiplicity 2)
Ga (0.0000, 0.0000, 0.6755) (multiplicity 2)
Sn (0.0000, 0.0000, 0.3059) (multiplicity 2)

***

No. 4
# YGaSn

A geometry-optimized YGaSn structure (PBE, Alexandria via LeMat-Bulk).

Cell: 4.4185 15.6988 4.2055 Å, 90.00 90.00 90.00°
Space group Cmcm (No. 63)
Unique sites:
Y (0.0000, 0.0913, 0.2500) (multiplicity 4)
Ga (0.0000, 0.4489, 0.2500) (multiplicity 4)
Sn (0.0000, 0.2556, 0.7500) (multiplicity 4)

***

No. 5
# YGaSn3

A geometry-optimized YGaSn3 structure (PBE, Alexandria via LeMat-Bulk).

Cell: 12.5843 6.2686 6.3966 Å, 90.00 90.00 90.00°
Space group Pbcm (No. 57)
Unique sites:
Y (0.1962, 0.0173, 0.2500) (multiplicity 4)
Ga (0.3798, 0.2500, 0.0000) (multiplicity 4)
Sn (0.0008, 0.7500, 0.0000) (multiplicity 4)
Sn (0.2344, 0.5228, 0.2500) (multiplicity 4)
Sn (0.4355, 0.6517, 0.7500) (multiplicity 4)

***

No. 6
# Y2Ga3Sn2

A geometry-optimized Y2Ga3Sn2 structure (PBE, Alexandria via LeMat-Bulk).

Cell: 8.7722 8.7722 8.7722 Å, 90.00 90.00 90.00°
Space group I2_13 (No. 199)
Unique sites:
Y (0.0047, 0.0047, 0.0047) (multiplicity 8)
Ga (0.0000, 0.2500, 0.2427) (multiplicity 12)
Sn (0.1912, 0.3088, 0.6912) (multiplicity 8)

***

No. 7
# Y4Ga3Sn

A geometry-optimized Y4Ga3Sn structure (PBE, Alexandria via LeMat-Bulk).

Cell: 4.1194 4.4175 11.0203 Å, 90.00 90.00 90.00°
Space group Pmm2 (No. 25)
Unique sites:
Y (0.0000, 0.0000, 0.0000) (multiplicity 1)
Y (0.0000, 0.5000, 0.4876) (multiplicity 1)
Y (0.5000, 0.0000, 0.7109) (multiplicity 1)
Y (0.5000, 0.5000, 0.2188) (multiplicity 1)
Ga (0.0000, 0.0000, 0.2791) (multiplicity 1)
Ga (0.5000, 0.0000, 0.4316) (multiplicity 1)
Ga (0.5000, 0.5000, 0.9449) (multiplicity 1)
Sn (0.0000, 0.5000, 0.7769) (multiplicity 1)

***

No. 8
# Y5Ga2Sn2

A geometry-optimized Y5Ga2Sn2 structure (PBE, Alexandria via LeMat-Bulk).

Cell: 15.4910 7.9911 7.8575 Å, 90.00 90.00 90.00°
Space group Cmce (No. 64)
Unique sites:
Y (0.0000, 0.0000, 0.0000) (multiplicity 4)
Y (0.1332, 0.1771, 0.3262) (multiplicity 16)
Ga (0.0000, 0.1196, 0.6207) (multiplicity 8)
Sn (0.2102, 0.0000, 0.0000) (multiplicity 8)

***

No. 9
# Y3Ga2Sn2

A geometry-optimized Y3Ga2Sn2 structure (PBE, Alexandria via LeMat-Bulk).

Cell: 4.2580 4.3752 18.8665 Å, 90.00 90.00 90.00°
Space group Immm (No. 71)
Unique sites:
Y (0.0000, 0.0000, 0.0000) (multiplicity 2)
Y (0.0000, 0.5000, 0.3176) (multiplicity 4)
Ga (0.0000, 0.0000, 0.4363) (multiplicity 4)
Sn (0.0000, 0.5000, 0.1509) (multiplicity 4)

***

No. 10
# YGaSn2

A geometry-optimized YGaSn2 structure (PBE, Alexandria via LeMat-Bulk).

Cell: 8.1363 8.1363 6.2217 Å, 90.00 90.00 90.00°
Space group I-42d (No. 122)
Unique sites:
Y (0.0000, 0.0000, 0.0000) (multiplicity 4)
Ga (0.0000, 0.0000, 0.5000) (multiplicity 4)
Sn (0.2099, 0.2500, 0.6250) (multiplicity 8)

***

No. 11
# Y6GaSn2

A geometry-optimized Y6GaSn2 structure (PBE, Alexandria via LeMat-Bulk).

Cell: 8.2670 8.2670 4.3280 Å, 90.00 90.00 120.00°
Space group P-62m (No. 189)
Unique sites:
Y (0.0000, 0.2469, 0.0000) (multiplicity 3)
Y (0.0000, 0.5937, 0.5000) (multiplicity 3)
Ga (0.0000, 0.0000, 0.5000) (multiplicity 1)
Sn (0.3333, 0.6667, 0.0000) (multiplicity 2)

***

No. 12
# YGa2Sn

A geometry-optimized YGa2Sn structure (PBE, Alexandria via LeMat-Bulk).

Cell: 4.4841 4.4841 4.3299 Å, 90.00 90.00 90.00°
Space group P4/mmm (No. 123)
Unique sites:
Y (0.0000, 0.0000, 0.0000) (multiplicity 1)
Ga (0.0000, 0.5000, 0.5000) (multiplicity 2)
Sn (0.5000, 0.5000, 0.0000) (multiplicity 1)

***

No. 13
# Y4Ga12Sn

A geometry-optimized Y4Ga12Sn structure (PBE, Alexandria via LeMat-Bulk).

Cell: 8.8572 8.8572 8.8572 Å, 90.00 90.00 90.00°
Space group Im-3m (No. 229)
Unique sites:
Y (0.2500, 0.2500, 0.2500) (multiplicity 8)
Ga (0.0000, 0.0000, 0.3196) (multiplicity 12)
Ga (0.0000, 0.2500, 0.5000) (multiplicity 12)
Sn (0.0000, 0.0000, 0.0000) (multiplicity 2)

***

No. 14
# YGaSn3

A geometry-optimized YGaSn3 structure (PBE, Alexandria via LeMat-Bulk).

Cell: 5.2949 5.2949 5.2949 Å, 90.00 90.00 90.00°
Space group Pm-3m (No. 221)
Unique sites:
Y (0.0000, 0.0000, 0.0000) (multiplicity 1)
Ga (0.5000, 0.5000, 0.5000) (multiplicity 1)
Sn (0.0000, 0.5000, 0.5000) (multiplicity 3)

***

No. 15
# Zn4Ga4Sn

A geometry-optimized Zn4Ga4Sn structure (PBE, Alexandria via LeMat-Bulk).

Cell: 6.2898 6.2898 8.6861 Å, 90.00 90.00 90.00°
Space group P4_2/nmc (No. 137, origin choice 2)
Unique sites:
Zn (0.0351, 0.2500, 0.1809) (multiplicity 8)
Ga (0.0101, 0.2500, 0.4763) (multiplicity 8)
Sn (0.2500, 0.7500, 0.2500) (multiplicity 2)

***

No. 16
# Zn2Ga2Sn

A geometry-optimized Zn2Ga2Sn structure (PBE, Alexandria via LeMat-Bulk).

Cell: 8.7415 4.0656 6.8067 Å, 90.00 125.92 90.00°
Space group C2/m (No. 12)
Unique sites:
Zn (0.1889, 0.0000, 0.0762) (multiplicity 4)
Ga (0.0817, 0.5000, 0.2579) (multiplicity 4)
Sn (0.0000, 0.0000, 0.5000) (multiplicity 2)

***

No. 17
# Zn2GaSn

A geometry-optimized Zn2GaSn structure (PBE, Alexandria via LeMat-Bulk).

Cell: 4.2945 4.2945 4.2692 Å, 90.00 90.00 90.00°
Space group P4/mmm (No. 123)
Unique sites:
Zn (0.0000, 0.5000, 0.0000) (multiplicity 2)
Ga (0.0000, 0.0000, 0.5000) (multiplicity 1)
Sn (0.5000, 0.5000, 0.5000) (multiplicity 1)

***

No. 18
# ZnGa6Sn

A geometry-optimized ZnGa6Sn structure (PBE, Alexandria via LeMat-Bulk).

Cell: 4.3472 4.3472 8.2262 Å, 90.00 90.00 90.00°
Space group P4/mmm (No. 123)
Unique sites:
Zn (0.0000, 0.0000, 0.0000) (multiplicity 1)
Ga (0.0000, 0.5000, 0.2286) (multiplicity 4)
Ga (0.5000, 0.5000, 0.0000) (multiplicity 1)
Ga (0.5000, 0.5000, 0.5000) (multiplicity 1)
Sn (0.0000, 0.0000, 0.5000) (multiplicity 1)

***

No. 19
# Zn3Ga3Sn

A geometry-optimized Zn3Ga3Sn structure (PBE, Alexandria via LeMat-Bulk).

Cell: 7.0283 7.0283 7.0283 Å, 90.00 90.00 90.00°
Space group Pm-3n (No. 223)
Unique sites:
Zn (0.0000, 0.2500, 0.5000) (multiplicity 6)
Ga (0.0000, 0.5000, 0.2500) (multiplicity 6)
Sn (0.0000, 0.0000, 0.0000) (multiplicity 2)

***

No. 20
# Zn2GaSn

A geometry-optimized Zn2GaSn structure (PBE, Alexandria via LeMat-Bulk).

Cell: 4.3837 4.3837 14.5526 Å, 90.00 90.00 120.00°
Space group R-3m (No. 166, hexagonal axes)
Unique sites:
Zn (0.0000, 0.0000, 0.2326) (multiplicity 6)
Ga (0.0000, 0.0000, 0.5000) (multiplicity 3)
Sn (0.0000, 0.0000, 0.0000) (multiplicity 3)

***

No. 21
# ZnGa6Sn2

A geometry-optimized ZnGa6Sn2 structure (PBE, Alexandria via LeMat-Bulk).

Cell: 14.0004 6.6654 4.4560 Å, 90.00 99.64 90.00°
Space group C2/m (No. 12)
Unique sites:
Zn (0.0000, 0.0000, 0.0000) (multiplicity 2)
Ga (0.0000, 0.2280, 0.5000) (multiplicity 4)
Ga (0.1562, 0.2228, 0.0964) (multiplicity 8)
Sn (0.1694, 0.5000, 0.5936) (multiplicity 4)

***

No. 22
# Zn2Ga4Sn

A geometry-optimized Zn2Ga4Sn structure (PBE, Alexandria via LeMat-Bulk).

Cell: 8.9029 6.6150 5.2461 Å, 90.00 119.55 90.00°
Space group C2/m (No. 12)
Unique sites:
Zn (0.0033, 0.0000, 0.2554) (multiplicity 4)
Ga (0.2021, 0.2978, 0.2035) (multiplicity 8)
Sn (0.0000, 0.5000, 0.5000) (multiplicity 2)

***

No. 23
# Zn2Ga2Sn

A geometry-optimized Zn2Ga2Sn structure (PBE, Alexandria via LeMat-Bulk).

Cell: 7.8703 7.8703 3.1438 Å, 90.00 90.00 90.00°
Space group P4/mbm (No. 127)
Unique sites:
Zn (0.1258, 0.3742, 0.0000) (multiplicity 4)
Ga (0.1704, 0.6704, 0.5000) (multiplicity 4)
Sn (0.0000, 0.0000, 0.0000) (multiplicity 2)

***

no.,energy of formation (kJ per mole of atoms),ρ (Mg/m³),final energy (eV per formula unit)
1,-52.6,6.25,-15.130
2,-49.4,6.38,-15.030
3,-36.8,6.37,-14.638
4,-49.9,6.31,-15.044
5,-30.9,6.78,-23.099
6,-33.7,6.14,-32.462
7,-67.2,5.66,-44.515
8,-65.3,5.61,-52.470
9,-65.3,6.08,-38.187
10,-28.4,6.39,-18.672
11,-55.7,5.45,-55.017
12,-47.4,6.62,-18.485
13,-43.8,6.27,-73.902
14,18.6,5.76,-20.537
15,9.5,6.37,-20.319
16,8.3,6.59,-12.173
17,10.9,6.73,-9.127
18,5.1,6.44,-23.019
19,37.3,5.01,-14.201
20,10.8,6.57,-9.131
21,6.8,5.84,-26.810
22,4.5,6.53,-18.331
23,7.1,6.63,-12.236